First-principles (PBE-GGA) data for a geometry-optimized SmY3Pt2 structure, as listed in the Alexandria database. Values from VASP.

Quantum ESPRESSO input file:
```
&SYSTEM
  ibrav = 0, nat = 12, ntyp = 3
/
ATOMIC_SPECIES
Sm 150.36 Sm.upf
Pt 195.08 Pt.upf
Y 88.91 Y.upf
CELL_PARAMETERS angstrom
6.9627 0.0000 0.0000
0.0000 7.1101 0.0000
-3.4814 -3.5550 6.9040
ATOMIC_POSITIONS angstrom
Sm 0.0000 0.0000 0.0000
Sm 0.0000 3.5550 0.0000
Pt 1.4623 0.0000 4.9636
Pt -1.4623 3.5550 4.9636
Pt 4.9437 0.0000 1.9404
Pt 2.0190 3.5550 1.9404
Y 3.4814 -1.7775 3.6106
Y 3.4814 1.7775 0.0000
Y 0.0000 5.3325 3.2934
Y 3.4814 5.3325 0.0000
Y 0.0000 1.7775 3.2934
Y 3.4814 1.7775 3.6106
```

Calculated volume, Å³ per cell: 341.8
Formation enthalpy at 0 K, meV per atom: -818
Energy above the lowest structure with this stoichiometry, kcal/mol of atoms: 2.37

First-principles (PBE-GGA) data for a geometry-optimized KNpTe2S6 structure, as listed in the Alexandria database. Values from VASP.

Quantum ESPRESSO input file:
```
&SYSTEM
  ibrav = 0, nat = 10, ntyp = 4
/
ATOMIC_SPECIES
S 32.06 S.upf
K 39.10 K.upf
Te 127.60 Te.upf
Np 237.00 Np.upf
CELL_PARAMETERS angstrom
7.5320 -0.0078 -0.0456
-3.7799 7.3459 0.3759
-3.7883 -2.1553 5.7084
ATOMIC_POSITIONS angstrom
S 0.8728 3.4743 4.4071
S 2.3685 5.0997 1.3504
S 2.2270 0.3502 1.3368
S -2.2349 5.2057 4.3564
S -1.0336 1.9568 1.3929
S -2.8151 -0.4289 4.0449
K -3.6917 2.6270 3.0999
Te 0.3945 5.2018 2.7564
Te 0.7231 0.0432 3.1857
Np 7.3656 0.0508 0.0868
```

Calculated volume, Å³ per cell: 320.1
Uncorrected formation energy, eV/atom: -0.503

First-principles (PBE-GGA) data for a geometry-optimized Li6Mg4Cu structure, as listed in the Alexandria database. Values from VASP.

Quantum ESPRESSO input file:
```
&SYSTEM
  ibrav = 0, nat = 11, ntyp = 3
/
ATOMIC_SPECIES
Li 6.94 Li.upf
Mg 24.30 Mg.upf
Cu 63.55 Cu.upf
CELL_PARAMETERS angstrom
-6.2766 -4.1783 -1.7830
5.6686 -0.0688 5.2816
1.6959 6.5191 3.8286
ATOMIC_POSITIONS angstrom
Li 5.1729 2.7541 5.7882
Li -2.2904 1.1704 1.0228
Li 3.7707 5.0793 5.2754
Li -0.3040 -2.1235 1.7493
Li -2.4682 -1.3083 0.8169
Li 1.9770 2.1972 4.5568
Mg 0.3246 0.7884 2.6872
Mg 3.5936 0.0373 3.3760
Mg 3.3952 3.7889 7.8958
Mg 1.1389 4.1078 2.4783
Cu 0.0000 0.0000 0.0000
```

Calculated volume, Å³ per cell: 204.9
Formation enthalpy at 0 K, meV per atom: 26

First-principles (PBE-GGA) data for a geometry-optimized SrMnCrRe2 structure, as listed in the Alexandria database. Values from VASP.

Quantum ESPRESSO input file:
```
&SYSTEM
  ibrav = 0, nat = 5, ntyp = 4
/
ATOMIC_SPECIES
Re 186.21 Re.upf
Cr 52.00 Cr.upf
Sr 87.62 Sr.upf
Mn 54.94 Mn.upf
CELL_PARAMETERS angstrom
-0.9400 1.4068 -4.2655
-3.4878 -3.1533 -0.2713
-2.9369 3.1047 1.6711
ATOMIC_POSITIONS angstrom
Re -1.4685 1.5523 0.8356
Re -0.4700 0.7034 -2.1328
Cr 0.0000 0.0000 0.0000
Sr -3.6823 0.6791 -1.4329
Mn -1.7439 -1.5766 -0.1357
```

Calculated volume, Å³ per cell: 99.2
Formation enthalpy at 0 K, meV per atom: 1115

First-principles (PBE-GGA) data for a geometry-optimized TbPm5Sc2 structure, as listed in the Alexandria database. Values from VASP.

Quantum ESPRESSO input file:
```
&SYSTEM
  ibrav = 0, nat = 16, ntyp = 3
/
ATOMIC_SPECIES
Tb 158.93 Tb.upf
Sc 44.96 Sc.upf
Pm 145.00 Pm.upf
CELL_PARAMETERS angstrom
-5.2277 2.1412 -7.0946
-7.4001 -1.0433 5.1379
6.5857 5.4434 2.5866
ATOMIC_POSITIONS angstrom
Tb 0.1359 2.9962 0.8041
Tb -6.1780 3.5451 -0.1742
Sc -4.4935 1.2340 -3.8386
Sc -3.3767 -0.0476 0.7481
Sc -8.1343 -0.1361 1.8818
Sc -9.2511 1.1455 -2.7049
Pm -2.8498 2.5050 -1.2198
Pm -0.5543 4.9929 -2.1605
Pm 0.0000 0.0000 0.0000
Pm -5.4879 1.5484 2.7903
Pm -1.7392 1.2225 3.3712
Pm -3.1923 4.0363 1.8497
Pm -3.8372 3.0909 5.4810
Pm -6.3139 0.5489 -0.9784
Pm -2.2049 3.4504 -4.8511
Pm -4.3029 5.3188 -2.7413
```

Calculated volume, Å³ per cell: 510.8
Formation enthalpy at 0 K, meV per atom: 135

First-principles (PBE-GGA) data for a geometry-optimized PrNd2Y6Ho2 structure, as listed in the Alexandria database. Values from VASP.

Quantum ESPRESSO input file:
```
&SYSTEM
  ibrav = 0, nat = 11, ntyp = 4
/
ATOMIC_SPECIES
Nd 144.24 Nd.upf
Ho 164.93 Ho.upf
Y 88.91 Y.upf
Pr 140.91 Pr.upf
CELL_PARAMETERS angstrom
6.6356 -0.6014 -0.5009
-3.8025 5.4712 -0.5009
-1.8678 -3.2106 11.5576
ATOMIC_POSITIONS angstrom
Nd -2.3909 4.6500 -0.5009
Nd 5.2240 0.2198 -0.5009
Ho -1.6270 2.0570 5.2779
Ho 2.5923 -0.3977 5.2779
Y 3.2225 1.8399 1.7334
Y 0.2729 0.4691 3.0583
Y 0.6924 1.1902 7.4976
Y 0.9586 -2.0515 8.8225
Y 0.0067 3.7108 1.7334
Y -2.2572 -0.1807 8.8225
Pr -0.9339 -1.6053 5.7788
```

Calculated volume, Å³ per cell: 370.7
Formation enthalpy at 0 K, meV per atom: 152

First-principles (PBE-GGA) data for a geometry-optimized TaTc2Ag structure, as listed in the Alexandria database. Values from VASP.

Quantum ESPRESSO input file:
```
&SYSTEM
  ibrav = 0, nat = 4, ntyp = 3
/
ATOMIC_SPECIES
Ta 180.95 Ta.upf
Ag 107.87 Ag.upf
Tc 98.00 Tc.upf
CELL_PARAMETERS angstrom
3.2315 0.0000 0.0000
0.0000 3.2315 0.0000
0.0000 0.0000 6.2706
ATOMIC_POSITIONS angstrom
Ta 1.6157 1.6157 4.7029
Ag 1.6157 1.6157 1.5676
Tc 0.0000 0.0000 6.1386
Tc 0.0000 0.0000 3.2673
```

Calculated volume, Å³ per cell: 65.5
Formation enthalpy at 0 K, meV per atom: 228
Energy above the lowest structure with this stoichiometry, kcal/mol of atoms: 1.22

First-principles (PBE-GGA) data for a geometry-optimized Li3CeGe2 structure, as listed in the Alexandria database. Values from VASP.

Quantum ESPRESSO input file:
```
&SYSTEM
  ibrav = 0, nat = 12, ntyp = 3
/
ATOMIC_SPECIES
Li 6.94 Li.upf
Ge 72.64 Ge.upf
Ce 140.12 Ce.upf
CELL_PARAMETERS angstrom
4.2966 0.0000 0.0000
-2.1483 7.8039 0.0361
0.0000 -3.5011 6.7676
ATOMIC_POSITIONS angstrom
Li 0.0000 -0.5708 2.6253
Li 2.1483 -0.7635 4.7342
Li 2.1483 1.3540 3.1623
Li 0.0000 5.0663 2.0695
Li 2.1483 4.8735 4.1783
Li 0.0000 2.9487 3.6414
Ge 0.0000 0.6643 4.9798
Ge 0.0000 4.6243 5.6229
Ge 2.1483 3.6384 1.8239
Ge 2.1483 -0.3216 1.1807
Ce 0.0000 2.0086 0.3982
Ce 2.1483 2.2942 6.4055
```

Calculated volume, Å³ per cell: 227.5
Formation enthalpy at 0 K, meV per atom: -484